[1]
Density functional theory data (PBE-GGA) for a geometry-optimized Ca2CoSb structure.

a = 6.674 Å, b = 6.674 Å, c = 6.674 Å
α = 150.34°, β = 137.05°, γ = 53.06°
Element x y z (fractional)
Ca 0.000 0.000 0.000
Ca 0.705 0.205 0.500
Co 0.229 0.729 0.500
Sb 0.387 0.387 0.000

Summary:
- space-group type = Imm2, No. 44
- formation energy from raw total energies (meV/atom) = -226
- magnetization (μB/atom) = 0.0001

***

[2]
Density functional theory data (PBE-GGA) for a geometry-optimized CaCoSb2 structure.

a = 5.025 Å, b = 5.025 Å, c = 5.025 Å
α = 60.00°, β = 60.00°, γ = 60.00°
Element x y z (fractional)
Ca 0.000 0.000 0.000
Co 0.500 0.500 0.500
Sb 0.250 0.250 0.250
Sb 0.750 0.750 0.750

Summary:
- space-group type = Fm-3m, No. 225
- formation energy from raw total energies (meV/atom) = -4
- magnetization (μB/atom) = 0.3269